First-principles (GGA-PBE) data for a geometry-optimized CoRe2As structure, as listed in Alexandria via LeMat-Bulk.

Geometry as POSCAR:
```
CoRe2As
1.0
-0.2843 -2.2603 -3.0501
-0.3653 -2.2314 1.6877
-5.4499 -0.3222 0.7468
As Co Re
1 1 2
direct
0.0000 0.2836 0.5571 As
0.5000 0.7097 0.7061 Co
0.5000 0.4471 0.2301 Re
0.0000 0.0595 0.0067 Re
```

Properties
Formation energy from the elements: 0.18 eV per atom



First-principles (GGA-PBE) data for a geometry-optimized La4TmZn5 structure, as listed in Alexandria via LeMat-Bulk.

Geometry as POSCAR:
```
La4TmZn5
1.0
-0.6652 -3.6430 -0.0873
3.2796 -0.5599 -1.6286
7.9951 -1.8610 16.7404
La Zn Tm
4 5 1
direct
0.0000 0.0000 0.8078 La
0.0000 0.0000 0.6023 La
0.0000 0.0000 0.1922 La
0.0000 0.0000 0.3977 La
0.5000 0.5000 0.2964 Zn
0.5000 0.5000 0.7036 Zn
0.5000 0.5000 0.5000 Zn
0.5000 0.5000 0.0845 Zn
0.5000 0.5000 0.9155 Zn
0.0000 0.0000 0.0000 Tm
```

Properties
Formation energy from the elements: -0.31 eV per atom



First-principles (GGA-PBE) data for a geometry-optimized DyBePd6 structure, as listed in Alexandria via LeMat-Bulk.

Geometry as POSCAR:
```
DyBePd6
1.0
-2.9587 -3.1255 3.3582
0.8531 -2.8042 -4.6053
4.8429 0.8967 2.3543
Pd Dy Be
6 1 1
direct
0.2397 0.6826 0.2397 Pd
0.7603 0.7603 0.3174 Pd
0.3174 0.7603 0.7603 Pd
0.6826 0.2397 0.2397 Pd
0.7603 0.3174 0.7603 Pd
0.2397 0.2397 0.6826 Pd
0.0000 0.0000 0.0000 Dy
0.5000 0.5000 0.5000 Be
```

Properties
Formation energy from the elements: -0.35 eV per atom



First-principles (GGA-PBE) data for a geometry-optimized La3Pm4Y2 structure, as listed in Alexandria via LeMat-Bulk.

Geometry as POSCAR:
```
La3Pm4Y2
1.0
3.6526 0.0000 0.0000
-1.8263 3.1632 0.0000
0.0000 0.0000 27.3925
Pm La Y
4 3 2
direct
0.0000 0.0000 0.7678 Pm
0.6667 0.3333 0.2126 Pm
0.6667 0.3333 0.4349 Pm
0.0000 0.0000 0.5414 Pm
0.0000 0.0000 0.3202 La
0.0000 0.0000 0.9843 La
0.6667 0.3333 0.6543 La
0.6667 0.3333 0.8717 Y
0.6667 0.3333 0.0900 Y
```

Properties
ΔE to the lowest computed polymorph: 48 meV per atom
Formation energy from the elements: 0.07 eV per atom



First-principles (GGA-PBE) data for a geometry-optimized PrBCl structure, as listed in Alexandria via LeMat-Bulk.

Geometry as POSCAR:
```
PrBCl
1.0
-3.1520 1.4047 1.0667
-1.3041 -0.7734 3.2784
5.3823 9.2116 4.5749
B Cl Pr
2 2 2
direct
0.6666 0.6666 0.5010 B
0.3334 0.3334 0.4990 B
0.6813 0.6813 0.1646 Cl
0.3187 0.3187 0.8354 Cl
0.0074 0.0074 0.3318 Pr
0.9926 0.9926 0.6682 Pr
```

Properties
Formation energy (no corrections): -3.3 eV per formula unit
ΔE to the lowest computed polymorph: 0 meV per atom



First-principles (GGA-PBE) data for a geometry-optimized Ta2TlP structure, as listed in Alexandria via LeMat-Bulk.

Geometry as POSCAR:
```
Ta2TlP
1.0
1.5765 -5.2860 0.0000
1.5765 5.2860 0.0000
0.0000 0.0000 4.6891
Tl Ta P
1 2 1
direct
0.9442 0.0558 0.0000 Tl
0.5848 0.4152 0.5000 Ta
0.2098 0.7902 0.0000 Ta
0.2713 0.7287 0.5000 P
```

Properties
ΔE to the lowest computed polymorph: 195 meV per atom
Formation energy from the elements: 0.13 eV per atom



First-principles (GGA-PBE) data for a geometry-optimized SbIr2S2 structure, as listed in Alexandria via LeMat-Bulk.

Geometry as POSCAR:
```
SbIr2S2
1.0
4.0163 0.0000 0.0000
0.0000 4.0163 0.0000
2.0082 2.0082 5.6341
Ir Sb S
2 1 2
direct
0.7500 0.2500 0.5000 Ir
0.2500 0.7500 0.5000 Ir
0.0000 0.0000 0.0000 Sb
0.6328 0.6328 0.7344 S
0.3672 0.3672 0.2656 S
```

Properties
Formation energy (no corrections): 2.0 eV per formula unit
ΔE to the lowest computed polymorph: 0 meV per atom



First-principles (GGA-PBE) data for a geometry-optimized HoNpBi2 structure, as listed in Alexandria via LeMat-Bulk.

Geometry as POSCAR:
```
HoNpBi2
1.0
-2.7513 -4.5564 -1.2333
2.4864 -4.8563 0.2922
-1.3515 -3.5280 3.9469
Ho Bi Np
1 2 1
direct
0.0000 0.0000 0.0000 Ho
0.7500 0.7500 0.7500 Bi
0.2500 0.2500 0.2500 Bi
0.5000 0.5000 0.5000 Np
```

Properties
ΔE to the lowest computed polymorph: 168 meV per atom
Formation energy from the elements: -0.19 eV per atom



> Number 4 is which compound?

La3Pm4Y2